Record 1
First-principles (PBEsol) data for Ni6Mo6C after structural relaxation, as listed in Alexandria via LeMat-Bulk.

a = 10.766 Å, b = 10.766 Å, c = 10.766 Å
α = 90.00°, β = 90.00°, γ = 90.00°
Space group Fd-3m (No. 227, origin choice 2)
Unique sites:
Ni (0.000, 0.000, 0.000)
Ni (0.042, 0.042, 0.208)
Mo (0.074, 0.375, 0.875)
C (0.125, 0.125, 0.625)

Output
Its formation energy from the elements is -0.14 eV per atom.



Record 2
First-principles (PBEsol) data for Ni2Mo4C after structural relaxation, as listed in Alexandria via LeMat-Bulk.

a = 11.166 Å, b = 11.166 Å, c = 11.166 Å
α = 90.00°, β = 90.00°, γ = 90.00°
Space group Fd-3m (No. 227, origin choice 2)
Unique sites:
Ni (0.042, 0.042, 0.208)
Mo (0.000, 0.000, 0.000)
Mo (0.065, 0.375, 0.875)
C (0.000, 0.000, 0.500)

Output
Its formation energy from the elements is -0.15 eV per atom.



Record 3
First-principles (PBEsol) data for NiMo3C after structural relaxation, as listed in Alexandria via LeMat-Bulk.

a = 4.041 Å, b = 4.041 Å, c = 4.041 Å
α = 90.00°, β = 90.00°, γ = 90.00°
Space group Pm-3m (No. 221)
Unique sites:
Ni (0.000, 0.000, 0.000)
Mo (0.000, 0.500, 0.500)
C (0.500, 0.500, 0.500)

Output
Its formation energy from the elements is 0.18 eV per atom.



Record 4
First-principles (PBEsol) data for MoCO2 after structural relaxation, as listed in Alexandria via LeMat-Bulk.

a = 2.6736 Å, b = 2.6736 Å, c = 17.9619 Å
α = 90.00°, β = 90.00°, γ = 120.00°
Space group R-3m (No. 166, hexagonal axes)
Unique sites:
Mo (0.0000, 0.0000, 0.0000)
C (0.0000, 0.0000, 0.5000)
O (0.0000, 0.0000, 0.1116)

Output
Its uncorrected formation energy is 0.648 eV per atom.



| no. | M_tot (μB/cell) | calculated density (kg/m3) | N(E_F) (states/eV per atom) |
| --- | --- | --- | --- |
| 1 | 0.03 | 10004 | 1.071 |
| 2 | 0.00 | 9793 | 0.713 |
| 3 | 0.00 | 9024 | 0.782 |
| 4 | 0.00 | 6270 | 0.372 |